Material: In2HS
Method: DFT, GGA-PBEsol
State: relaxed

Calculated values
- E_tot (eV/f.u.) = -12.8
- ρ (g/cm3) = 5.92
- D(E_F) (states/eV/atom) = 0.49

Cell: 6.6562 6.6562 6.6562 Å, 90.00 90.00 90.00°
Space group Fm-3m (No. 225)
Unique sites:
In1 0.2500 0.2500 0.2500
H1 0.0000 0.0000 0.0000
S1 0.0000 0.0000 0.5000